1.
Pr3TeAsSe, optimized geometry, DFT PBE-GGA; uncorrected energy = -5.61 eV/atom; magnetic moment = 0.00 μB/f.u.; theoretical density = 5.95 g cm⁻³; formation energy from raw total energies = -1.34 eV/atom
1.0
-1.5528 -2.6215 3.1476
-4.1242 -4.6295 -5.8901
9.5995 -4.8502 0.6961
Pr Te As Se
6 2 2 2
Direct
0.2500 0.8178 0.5523
0.7500 0.8952 0.1048
0.7500 0.4739 0.1671
0.7500 0.1822 0.4477
0.2500 0.5261 0.8329
0.2500 0.1048 0.8952
0.7500 0.8087 0.7851
0.2500 0.1913 0.2149
0.2500 0.6728 0.1053
0.7500 0.3272 0.8947
0.2500 0.1711 0.6241
0.7500 0.8289 0.3759


2.
Zn2BrCl, optimized geometry, DFT PBE-GGA; energy above the lowest structure with this stoichiometry = 2.34 eV/f.u.; uncorrected energy = -1.55 eV/atom; magnetic moment = 0.00 μB/f.u.; theoretical density = 4.83 g cm⁻³; formation energy from raw total energies = -0.03 eV/atom
1.0
3.4945 0.0000 0.0000
0.0000 3.4945 0.0000
0.0000 0.0000 6.9319
Br Cl Zn
1 1 2
Direct
0.5000 0.5000 0.2500
0.5000 0.5000 0.7500
0.0000 0.0000 0.9933
0.0000 0.0000 0.5067